No. 1
A plane-wave DFT calculation with PBE-GGA was carried out for a relaxed structure of Hg2PtBr6.

a = 8.553 Å, b = 8.553 Å, c = 8.408 Å
α = 92.12°, β = 92.12°, γ = 83.52°
Element x y z (fractional)
Hg  0.125  0.245  0.206
Hg  0.245  0.125  0.706
Hg  0.755  0.875  0.294
Hg  0.875  0.755  0.794
Pt  0.399  0.601  0.750
Pt  0.601  0.399  0.250
Br  0.011  0.220  0.899
Br  0.134  0.627  0.625
Br  0.220  0.011  0.399
Br  0.333  0.445  0.132
Br  0.373  0.866  0.875
Br  0.445  0.333  0.632
Br  0.555  0.667  0.368
Br  0.627  0.134  0.125
Br  0.667  0.555  0.868
Br  0.780  0.989  0.601
Br  0.866  0.373  0.375
Br  0.989  0.780  0.101

***

No. 2
A plane-wave DFT calculation with PBE-GGA was carried out for a relaxed structure of HgPtBr.

Fermi-level density of states: 2.02 states/eV/f.u.

a = 3.761 Å, b = 3.761 Å, c = 5.629 Å
α = 90.00°, β = 90.00°, γ = 120.00°
Element x y z (fractional)
Hg  0.000  0.000  0.000
Pt  0.667  0.333  0.298
Br  0.333  0.667  0.598

***

No. 3
A plane-wave DFT calculation with PBE-GGA was carried out for a relaxed structure of HgPtBr.

Fermi-level density of states: 0.22 states/eV/f.u.

a = 3.683 Å, b = 5.706 Å, c = 7.511 Å
α = 83.20°, β = 85.39°, γ = 86.63°
Element x y z (fractional)
Hg  0.000  0.000  0.000
Hg  0.017  0.342  0.659
Pt  0.478  0.693  0.767
Pt  0.958  0.518  0.994
Br  0.430  0.398  0.225
Br  0.988  0.892  0.544

***

No. 4
A plane-wave DFT calculation with PBE-GGA was carried out for a relaxed structure of HgPtBr2.

Fermi-level density of states: 5.24 states/eV/f.u.

a = 5.073 Å, b = 5.073 Å, c = 3.513 Å
α = 90.00°, β = 90.00°, γ = 90.28°
Element x y z (fractional)
Hg  0.000  0.000  0.000
Pt  0.500  0.500  0.000
Br  0.000  0.500  0.500
Br  0.500  0.000  0.500

***

No. 5
A plane-wave DFT calculation with PBE-GGA was carried out for a relaxed structure of HgPtBr2.

Fermi-level density of states: 1.04 states/eV/f.u.

a = 5.223 Å, b = 5.223 Å, c = 5.173 Å
α = 116.32°, β = 116.32°, γ = 96.48°
Element x y z (fractional)
Hg  0.000  0.000  0.000
Pt  0.500  0.500  0.000
Br  0.000  0.500  0.500
Br  0.500  0.000  0.500

***

No. 6
A plane-wave DFT calculation with PBE-GGA was carried out for a relaxed structure of HgPt2Br2.

Fermi-level density of states: 3.48 states/eV/f.u.

a = 10.354 Å, b = 10.354 Å, c = 10.354 Å
α = 159.08°, β = 159.08°, γ = 29.75°
Element x y z (fractional)
Hg  0.000  0.000  0.000
Pt  0.250  0.750  0.500
Pt  0.750  0.250  0.500
Br  0.355  0.355  0.000
Br  0.645  0.645  0.000

***

No. 7
A plane-wave DFT calculation with PBE-GGA was carried out for a relaxed structure of HgPtBr.

Fermi-level density of states: 0.59 states/eV/f.u.

a = 5.499 Å, b = 3.830 Å, c = 7.320 Å
α = 90.00°, β = 101.53°, γ = 90.00°
Element x y z (fractional)
Hg  0.114  0.250  0.152
Hg  0.886  0.750  0.848
Pt  0.408  0.750  0.882
Pt  0.592  0.250  0.118
Br  0.271  0.250  0.646
Br  0.729  0.750  0.354

***

No. 8
A plane-wave DFT calculation with PBE-GGA was carried out for a relaxed structure of HgPtBr2.

Fermi-level density of states: 4.61 states/eV/f.u.

a = 5.044 Å, b = 5.044 Å, c = 5.044 Å
α = 60.00°, β = 60.00°, γ = 60.00°
Element x y z (fractional)
Hg  0.000  0.000  0.000
Pt  0.500  0.500  0.500
Br  0.250  0.250  0.250
Br  0.750  0.750  0.750

***

No. 9
A plane-wave DFT calculation with PBE-GGA was carried out for a relaxed structure of Rb2Hg2PtBr4.

a = 7.430 Å, b = 7.430 Å, c = 7.430 Å
α = 114.58°, β = 114.58°, γ = 99.68°
Element x y z (fractional)
Rb  0.250  0.750  0.500
Rb  0.750  0.250  0.500
Hg  0.178  0.178  0.000
Hg  0.822  0.822  0.000
Pt  0.500  0.500  0.000
Br  0.280  0.280  0.560
Br  0.280  0.720  0.000
Br  0.720  0.280  0.000
Br  0.720  0.720  0.440

***

No. 10
A plane-wave DFT calculation with PBE-GGA was carried out for a relaxed structure of Sc2HgPtBr.

Fermi-level density of states: 4.12 states/eV/f.u.

a = 5.338 Å, b = 5.338 Å, c = 5.027 Å
α = 90.00°, β = 90.00°, γ = 90.00°
Element x y z (fractional)
Sc  0.000  0.500  0.000
Sc  0.500  0.000  0.000
Hg  0.000  0.000  0.000
Pt  0.000  0.000  0.500
Br  0.500  0.500  0.500

***

No. 11
A plane-wave DFT calculation with PBE-GGA was carried out for a relaxed structure of HgPtSeBr2.

Fermi-level density of states: 5.76 states/eV/f.u.

a = 5.303 Å, b = 5.303 Å, c = 4.864 Å
α = 90.00°, β = 90.00°, γ = 90.00°
Element x y z (fractional)
Hg  0.000  0.000  0.000
Pt  0.500  0.500  0.500
Se  0.500  0.500  0.000
Br  0.000  0.500  0.500
Br  0.500  0.000  0.500

***

No. 12
A plane-wave DFT calculation with PBE-GGA was carried out for a relaxed structure of SnHg2PtBr.

Fermi-level density of states: 1.75 states/eV/f.u.

a = 5.347 Å, b = 5.347 Å, c = 5.114 Å
α = 90.00°, β = 90.00°, γ = 90.00°
Element x y z (fractional)
Sn  0.000  0.000  0.000
Hg  0.000  0.500  0.500
Hg  0.500  0.000  0.500
Pt  0.000  0.000  0.500
Br  0.500  0.500  0.000

***

No. 13
A plane-wave DFT calculation with PBE-GGA was carried out for a relaxed structure of SnHgPtBr2.

Fermi-level density of states: 1.60 states/eV/f.u.

a = 5.374 Å, b = 5.374 Å, c = 5.338 Å
α = 90.00°, β = 90.00°, γ = 90.00°
Element x y z (fractional)
Sn  0.000  0.000  0.000
Hg  0.500  0.500  0.500
Pt  0.500  0.500  0.000
Br  0.000  0.500  0.500
Br  0.500  0.000  0.500

***

No. 14
A plane-wave DFT calculation with PBE-GGA was carried out for a relaxed structure of SrHg2PtBr.

Fermi-level density of states: 2.90 states/eV/f.u.

a = 5.262 Å, b = 5.262 Å, c = 5.875 Å
α = 90.00°, β = 90.00°, γ = 90.00°
Element x y z (fractional)
Sr  0.000  0.000  0.000
Hg  0.000  0.500  0.500
Hg  0.500  0.000  0.500
Pt  0.000  0.000  0.500
Br  0.500  0.500  0.000

***

No. 15
A plane-wave DFT calculation with PBE-GGA was carried out for a relaxed structure of TiHg2PtBr.

Fermi-level density of states: 10.18 states/eV/f.u.

a = 5.388 Å, b = 5.388 Å, c = 4.723 Å
α = 90.00°, β = 90.00°, γ = 90.00°
Element x y z (fractional)
Ti  0.000  0.000  0.000
Hg  0.000  0.500  0.000
Hg  0.500  0.000  0.000
Pt  0.500  0.500  0.500
Br  0.000  0.000  0.500

***

No. 16
A plane-wave DFT calculation with PBE-GGA was carried out for a relaxed structure of TiHgPtBr2.

Fermi-level density of states: 5.17 states/eV/f.u.

a = 5.375 Å, b = 5.375 Å, c = 5.265 Å
α = 90.00°, β = 90.00°, γ = 90.00°
Element x y z (fractional)
Ti  0.000  0.000  0.000
Hg  0.500  0.500  0.500
Pt  0.500  0.500  0.000
Br  0.000  0.500  0.500
Br  0.500  0.000  0.500

***

No. 17
A plane-wave DFT calculation with PBE-GGA was carried out for a relaxed structure of TlHg2PtBr.

Fermi-level density of states: 1.80 states/eV/f.u.

a = 5.312 Å, b = 5.312 Å, c = 5.418 Å
α = 90.00°, β = 90.00°, γ = 90.00°
Element x y z (fractional)
Tl  0.000  0.000  0.000
Hg  0.000  0.500  0.500
Hg  0.500  0.000  0.500
Pt  0.000  0.000  0.500
Br  0.500  0.500  0.000

***

No. 18
A plane-wave DFT calculation with PBE-GGA was carried out for a relaxed structure of VHg2PtBr.

Fermi-level density of states: 5.98 states/eV/f.u.

a = 5.467 Å, b = 5.467 Å, c = 4.656 Å
α = 90.00°, β = 90.00°, γ = 90.00°
Element x y z (fractional)
V  0.000  0.000  0.000
Hg  0.000  0.500  0.000
Hg  0.500  0.000  0.000
Pt  0.000  0.000  0.500
Br  0.500  0.500  0.500

***

No. 19
A plane-wave DFT calculation with PBE-GGA was carried out for a relaxed structure of PuHg2Br4.

Fermi-level density of states: 11.50 states/eV/f.u.

a = 10.350 Å, b = 10.350 Å, c = 10.350 Å
α = 148.24°, β = 148.24°, γ = 45.53°
Element x y z (fractional)
Pu  0.000  0.000  0.000
Hg  0.324  0.324  0.000
Hg  0.676  0.676  0.000
Br  0.000  0.500  0.500
Br  0.140  0.140  0.000
Br  0.500  0.000  0.500
Br  0.860  0.860  0.000

***

No. 20
A plane-wave DFT calculation with PBE-GGA was carried out for a relaxed structure of Pu2HgBr4.

Fermi-level density of states: 18.55 states/eV/f.u.

a = 17.775 Å, b = 17.775 Å, c = 17.775 Å
α = 13.22°, β = 13.22°, γ = 13.22°
Element x y z (fractional)
Pu  0.067  0.067  0.067
Pu  0.933  0.933  0.933
Hg  0.500  0.500  0.500
Br  0.232  0.232  0.232
Br  0.367  0.367  0.367
Br  0.633  0.633  0.633
Br  0.768  0.768  0.768

***

| no. | volume (Å³ per cell) | formation energy (no corrections) (eV/atom) | calculated total energy (eV per atom) |
| --- | --- | --- | --- |
| 1 | 610.4 | -0.32 | -2.17 |
| 2 | 69.0 | 0.24 | -2.43 |
| 3 | 156.0 | -0.06 | -2.73 |
| 4 | 90.4 | 0.59 | -1.83 |
| 5 | 104.6 | 0.27 | -2.15 |
| 6 | 141.4 | 0.38 | -2.76 |
| 7 | 151.1 | -0.10 | -2.77 |
| 8 | 90.7 | 0.58 | -1.84 |
| 9 | 309.0 | -0.85 | -2.55 |
| 10 | 143.3 | 0.27 | -3.87 |
| 11 | 136.8 | 0.14 | -2.50 |
| 12 | 146.2 | -0.23 | -2.70 |
| 13 | 154.1 | 0.47 | -2.27 |
| 14 | 162.7 | -0.69 | -2.69 |
| 15 | 137.1 | 0.68 | -2.57 |
| 16 | 152.1 | 0.80 | -2.72 |
| 17 | 152.9 | -0.25 | -2.39 |
| 18 | 139.1 | 0.58 | -2.91 |
| 19 | 306.2 | -0.83 | -3.92 |
| 20 | 255.4 | -1.22 | -6.31 |